*a*
An optimized crystal structure of Sc2HgGe2. Source: Alexandria, functional PBE.

Cell: 7.106 7.106 3.916 Å, 90.00 90.00 90.00°
Fractional positions:
1 Sc 0.177 0.323 0.000
2 Sc 0.323 0.823 0.000
3 Sc 0.677 0.177 0.000
4 Sc 0.823 0.677 0.000
5 Hg 0.000 0.000 0.500
6 Hg 0.500 0.500 0.500
7 Ge 0.123 0.623 0.500
8 Ge 0.377 0.123 0.500
9 Ge 0.623 0.877 0.500
10 Ge 0.877 0.377 0.500

Summary:
For the density of states at the Fermi level, the calculation gives 2.06 states/eV/f.u.

---

*b*
An optimized crystal structure of Sc2HgGe2. Source: Alexandria, functional PBE.

Cell: 8.053 8.053 8.053 Å, 153.01 153.01 38.54°
Fractional positions:
1 Sc 0.110 0.110 0.000
2 Sc 0.890 0.890 0.000
3 Hg 0.500 0.500 0.000
4 Ge 0.250 0.750 0.500
5 Ge 0.750 0.250 0.500

Summary:
For the density of states at the Fermi level, the calculation gives 4.25 states/eV/f.u.

---

Most stable to least stable, the ends of the list are *a* and *b*.

---

*a*
An optimized crystal structure of HgGe2Se2. Source: Alexandria, functional PBE.

Cell: 6.479 6.479 6.479 Å, 135.43 135.43 64.86°
Fractional positions:
1 Hg 0.000 0.000 0.000
2 Ge 0.355 0.355 0.000
3 Ge 0.645 0.645 0.000
4 Se 0.250 0.750 0.500
5 Se 0.750 0.250 0.500

Summary:
For the density of states at the Fermi level, the calculation gives 0.00 states/eV/f.u.

---

*b*
An optimized crystal structure of HgGe2Se2. Source: Alexandria, functional PBE.

Cell: 6.440 6.440 8.336 Å, 99.86 99.86 54.31°
Fractional positions:
1 Hg 0.119 0.881 0.750
2 Hg 0.881 0.119 0.250
3 Ge 0.068 0.547 0.875
4 Ge 0.453 0.932 0.625
5 Ge 0.547 0.068 0.375
6 Ge 0.932 0.453 0.125
7 Se 0.183 0.522 0.357
8 Se 0.478 0.817 0.143
9 Se 0.522 0.183 0.857
10 Se 0.817 0.478 0.643

Summary:
For the density of states at the Fermi level, the calculation gives 0.51 states/eV/f.u.

---

*c*
An optimized crystal structure of HgGe2Se2. Source: Alexandria, functional PBE.

Cell: 6.998 6.998 6.998 Å, 138.81 138.81 59.66°
Fractional positions:
1 Hg 0.000 0.000 0.000
2 Ge 0.250 0.750 0.500
3 Ge 0.750 0.250 0.500
4 Se 0.345 0.345 0.000
5 Se 0.655 0.655 0.000

Summary:
For the density of states at the Fermi level, the calculation gives 1.35 states/eV/f.u.

---

Most stable to least stable, the ends of the list are *b* and *c*.

---

*a*
An optimized crystal structure of HgGe3Se. Source: Alexandria, functional PBE.

Cell: 5.210 5.210 5.210 Å, 90.00 90.00 90.00°
Fractional positions:
1 Hg 0.000 0.000 0.000
2 Ge 0.000 0.000 0.500
3 Ge 0.000 0.500 0.000
4 Ge 0.500 0.000 0.000
5 Se 0.500 0.500 0.500

Summary:
For the density of states at the Fermi level, the calculation gives 3.35 states/eV/f.u.

---

*b*
An optimized crystal structure of HgGe3Se. Source: Alexandria, functional PBE.

Cell: 5.198 5.198 5.198 Å, 90.00 90.00 90.00°
Fractional positions:
1 Hg 0.000 0.000 0.000
2 Ge 0.000 0.500 0.500
3 Ge 0.500 0.000 0.500
4 Ge 0.500 0.500 0.000
5 Se 0.500 0.500 0.500

Summary:
For the density of states at the Fermi level, the calculation gives 2.88 states/eV/f.u.

---

Most stable to least stable, the ends of the list are *b* and *a*.

---

*a*
An optimized crystal structure of SiHg2Ge. Source: Alexandria, functional PBE.

Cell: 4.947 4.947 4.947 Å, 60.00 60.00 60.00°
Fractional positions:
1 Si 0.000 0.000 0.000
2 Hg 0.250 0.250 0.250
3 Hg 0.750 0.750 0.750
4 Ge 0.500 0.500 0.500

Summary:
For the density of states at the Fermi level, the calculation gives 0.95 states/eV/f.u.

---

*b*
An optimized crystal structure of SiHg2Ge. Source: Alexandria, functional PBE.

Cell: 6.232 6.232 6.232 Å, 102.51 102.51 124.52°
Fractional positions:
1 Si 0.000 0.000 0.000
2 Si 0.750 0.250 0.500
3 Hg 0.106 0.625 0.981
4 Hg 0.375 0.356 0.481
5 Hg 0.644 0.125 0.019
6 Hg 0.875 0.894 0.519
7 Ge 0.250 0.750 0.500
8 Ge 0.500 0.500 0.000

Summary:
For the density of states at the Fermi level, the calculation gives 2.06 states/eV/f.u.

---

Most stable to least stable, the ends of the list are *b* and *a*.

---

*a*
An optimized crystal structure of Si2HgGe2. Source: Alexandria, functional PBE.

Cell: 5.674 5.674 5.674 Å, 131.38 131.38 71.21°
Fractional positions:
1 Si 0.130 0.130 0.000
2 Si 0.870 0.870 0.000
3 Hg 0.500 0.500 0.000
4 Ge 0.250 0.750 0.500
5 Ge 0.750 0.250 0.500

Summary:
For the density of states at the Fermi level, the calculation gives 1.98 states/eV/f.u.

---

*b*
An optimized crystal structure of Si2HgGe2. Source: Alexandria, functional PBE.

Cell: 6.566 6.566 6.566 Å, 142.29 142.29 54.39°
Fractional positions:
1 Si 0.250 0.750 0.500
2 Si 0.750 0.250 0.500
3 Hg 0.000 0.000 0.000
4 Ge 0.377 0.377 0.000
5 Ge 0.623 0.623 0.000

Summary:
For the density of states at the Fermi level, the calculation gives 1.29 states/eV/f.u.

---

Most stable to least stable, the ends of the list are *a* and *b*.

---

*a*
An optimized crystal structure of SiHgGe2. Source: Alexandria, functional PBE.

Cell: 6.939 6.939 6.939 Å, 127.97 127.97 76.68°
Fractional positions:
1 Si 0.000 0.000 0.000
2 Si 0.750 0.250 0.500
3 Hg 0.250 0.750 0.500
4 Hg 0.500 0.500 0.000
5 Ge 0.090 0.625 0.965
6 Ge 0.375 0.340 0.465
7 Ge 0.660 0.125 0.035
8 Ge 0.875 0.910 0.535

Summary:
For the density of states at the Fermi level, the calculation gives 0.56 states/eV/f.u.

---

*b*
An optimized crystal structure of SiHgGe2. Source: Alexandria, functional PBE.

Cell: 4.839 4.839 4.839 Å, 60.00 60.00 60.00°
Fractional positions:
1 Si 0.000 0.000 0.000
2 Hg 0.500 0.500 0.500
3 Ge 0.250 0.250 0.250
4 Ge 0.750 0.750 0.750

Summary:
For the density of states at the Fermi level, the calculation gives 1.87 states/eV/f.u.

---

Most stable to least stable, the ends of the list are *a* and *b*.